Record 1
# GGA-PBE CuAgOs2, optimized geometry
data_CuAgOs2
_cell_length_a 5.1444
_cell_length_b 8.6076
_cell_length_c 2.6779
_cell_angle_alpha 90.00
_cell_angle_beta 90.00
_cell_angle_gamma 90.00
_symmetry_space_group_name_H-M 'C m m m'
_symmetry_Int_Tables_number 65
_symmetry_space_group_name_Hall '-C 2 2'
loop_
_atom_site_label
_atom_site_type_symbol
_atom_site_fract_x
_atom_site_fract_y
_atom_site_fract_z
_atom_site_occupancy
Cu1 Cu 0.0000 0.0000 0.0000 1
Ag1 Ag 0.0000 0.5000 0.0000 1
Os1 Os 0.2500 0.2500 0.5000 1
# Formation energy   791 meV/atom
# Excess energy over the best structure of this formula in the dataset   46.5 kJ per mole of atoms
# Theoretical density   15.46 g cm⁻³


Record 2
# GGA-PBE Ba2TlBiH, optimized geometry
data_Ba2TlBiH
_cell_length_a 5.6637
_cell_length_b 5.6637
_cell_length_c 4.9640
_cell_angle_alpha 90.00
_cell_angle_beta 90.00
_cell_angle_gamma 90.00
_symmetry_space_group_name_H-M 'P 4/m m m'
_symmetry_Int_Tables_number 123
_symmetry_space_group_name_Hall '-P 4 2'
loop_
_atom_site_label
_atom_site_type_symbol
_atom_site_fract_x
_atom_site_fract_y
_atom_site_fract_z
_atom_site_occupancy
Ba1 Ba 0.0000 0.5000 0.0000 1
Tl1 Tl 0.0000 0.0000 0.5000 1
Bi1 Bi 0.5000 0.5000 0.5000 1
H1 H 0.0000 0.0000 0.0000 1
# Theoretical density   7.19 g cm⁻³
# Calculated total energy   -3.19 eV/atom